1 | DFT (PBE) results for a geometry-optimized ZnC8 structure.

a b c (Å): 4.924 4.924 6.117
angles (deg): 90.00 90.00 120.00
Positions (direct):
C 0.334 0.167 0.000
C 0.833 0.167 0.000
C 0.667 0.333 0.000
C 0.167 0.334 0.000
C 0.833 0.666 0.000
C 0.333 0.667 0.000
C 0.167 0.833 0.000
C 0.666 0.833 0.000
Zn 0.000 0.000 0.500


2 | DFT (PBE) results for a geometry-optimized ZnC8 structure.

a b c (Å): 12.631 12.141 4.925
angles (deg): 84.18 72.99 22.83
Positions (direct):
C 0.292 0.958 0.042
C 0.792 0.458 0.042
C 0.458 0.792 0.208
C 0.958 0.292 0.208
C 0.542 0.208 0.292
C 0.042 0.708 0.292
C 0.208 0.542 0.458
C 0.708 0.042 0.458
C 0.292 0.958 0.542
C 0.792 0.458 0.542
C 0.458 0.792 0.708
C 0.958 0.292 0.708
C 0.542 0.208 0.792
C 0.042 0.708 0.792
C 0.208 0.542 0.958
C 0.708 0.042 0.958
Zn 0.000 0.000 0.000
Zn 0.250 0.250 0.250


Which structure is the least stable? The one labeled 2.


1 | DFT (PBE) results for a geometry-optimized Cd structure.

a b c (Å): 3.126 3.126 7.955
angles (deg): 101.33 78.67 120.00
Positions (direct):
Cd 0.000 0.000 0.000
Cd 0.222 0.778 0.334
Cd 0.778 0.222 0.666


2 | DFT (PBE) results for a geometry-optimized Cd structure.

a b c (Å): 5.614 5.614 5.614
angles (deg): 90.00 90.00 90.00
Positions (direct):
Cd 0.000 0.000 0.000
Cd 0.500 0.250 0.000
Cd 0.500 0.750 0.000
Cd 0.000 0.500 0.250
Cd 0.250 0.000 0.500
Cd 0.750 0.000 0.500
Cd 0.500 0.500 0.500
Cd 0.000 0.500 0.750


3 | DFT (PBE) results for a geometry-optimized Cd structure.

a b c (Å): 3.773 3.773 4.472
angles (deg): 90.00 114.95 120.00
Positions (direct):
Cd 0.500 0.750 0.250
Cd 0.500 0.250 0.750


Which structure is the least stable? The one labeled 3.


1 | DFT (PBE) results for a geometry-optimized Cd structure.

a b c (Å): 3.105 3.105 3.163
angles (deg): 119.39 119.39 90.00
Positions (direct):
Cd 0.000 0.000 0.000


2 | DFT (PBE) results for a geometry-optimized Cd structure.

a b c (Å): 9.427 9.427 9.427
angles (deg): 109.47 109.47 109.47
Positions (direct):
Cd 0.000 0.000 0.000
Cd 0.668 0.000 0.000
Cd 0.384 0.191 0.000
Cd 0.191 0.384 0.000
Cd 0.691 0.419 0.000
Cd 0.000 0.668 0.000
Cd 0.419 0.691 0.000
Cd 0.384 0.000 0.191
Cd 0.000 0.384 0.191
Cd 0.809 0.809 0.193
Cd 0.581 0.581 0.272
Cd 0.728 0.309 0.309
Cd 0.309 0.728 0.309
Cd 0.332 0.332 0.332
Cd 0.191 0.000 0.384
Cd 0.000 0.191 0.384
Cd 0.691 0.000 0.419
Cd 0.000 0.691 0.419
Cd 0.581 0.272 0.581
Cd 0.272 0.581 0.581
Cd 0.807 0.616 0.616
Cd 0.616 0.807 0.616
Cd 0.000 0.000 0.668
Cd 0.419 0.000 0.691
Cd 0.000 0.419 0.691
Cd 0.309 0.309 0.728
Cd 0.616 0.616 0.807
Cd 0.809 0.193 0.809
Cd 0.193 0.809 0.809


Which structure is the least stable? The one labeled 2.


1 | DFT (PBE) results for a geometry-optimized Cd structure.

a b c (Å): 2.959 3.235 5.145
angles (deg): 90.00 90.00 62.78
Positions (direct):
Cd 0.820 0.360 0.250
Cd 0.180 0.640 0.750


2 | DFT (PBE) results for a geometry-optimized Cd structure.

a b c (Å): 4.931 4.931 4.984
angles (deg): 90.00 90.00 120.62
Positions (direct):
Cd 0.156 0.844 0.082
Cd 0.656 0.344 0.418
Cd 0.344 0.656 0.582
Cd 0.844 0.156 0.918


3 | DFT (PBE) results for a geometry-optimized Cd structure.

a b c (Å): 3.510 4.701 6.000
angles (deg): 66.94 90.00 90.00
Positions (direct):
Cd 0.000 0.367 0.265
Cd 0.500 0.867 0.265
Cd 0.500 0.133 0.735
Cd 0.000 0.633 0.735


4 | DFT (PBE) results for a geometry-optimized Cd structure.

a b c (Å): 4.250 4.250 4.737
angles (deg): 90.00 90.00 120.00
Positions (direct):
Cd 0.666 0.666 0.000
Cd 0.334 0.000 0.333
Cd 0.000 0.334 0.667


Which structure is the least stable? The one labeled 4.


1 | DFT (PBE) results for a geometry-optimized CdCo7 structure.

Calculated values
Total magnetic moment, Bohr magnetons per cell: 22.7

a b c (Å): 2.565 2.565 39.160
angles (deg): 90.00 90.00 90.00
Positions (direct):
Cd 0.000 0.500 0.169
Cd 0.500 0.000 0.831
Co 0.500 0.000 0.225
Co 0.000 0.500 0.266
Co 0.500 0.000 0.309
Co 0.000 0.500 0.352
Co 0.500 0.000 0.394
Co 0.000 0.500 0.436
Co 0.500 0.000 0.479
Co 0.000 0.500 0.521
Co 0.500 0.000 0.564
Co 0.000 0.500 0.606
Co 0.500 0.000 0.648
Co 0.000 0.500 0.691
Co 0.500 0.000 0.734
Co 0.000 0.500 0.775


2 | DFT (PBE) results for a geometry-optimized CdCo7 structure.

Calculated values
Total magnetic moment, Bohr magnetons per cell: 22.5

a b c (Å): 2.573 3.390 34.021
angles (deg): 90.00 90.00 90.00
Positions (direct):
Cd 0.000 0.000 0.212
Cd 0.500 0.500 0.787
Co 0.500 0.500 0.264
Co 0.000 0.000 0.299
Co 0.500 0.500 0.336
Co 0.000 0.000 0.372
Co 0.500 0.500 0.409
Co 0.000 0.000 0.445
Co 0.500 0.500 0.482
Co 0.000 0.000 0.518
Co 0.500 0.500 0.555
Co 0.000 0.000 0.592
Co 0.500 0.500 0.628
Co 0.000 0.000 0.664
Co 0.500 0.500 0.702
Co 0.000 0.000 0.736


Which structure is the least stable? The one labeled 1.


1 | DFT (PBE) results for a geometry-optimized CdGaCoNi structure.

Calculated values
Total magnetic moment, Bohr magnetons per cell: 0.5

a b c (Å): 4.265 4.265 4.265
angles (deg): 60.00 60.00 60.00
Positions (direct):
Cd 0.500 0.500 0.500
Co 0.750 0.750 0.750
Ga 0.000 0.000 0.000
Ni 0.250 0.250 0.250


2 | DFT (PBE) results for a geometry-optimized CdGaCoNi structure.

Calculated values
Total magnetic moment, Bohr magnetons per cell: 0.8

a b c (Å): 4.294 4.294 4.294
angles (deg): 60.00 60.00 60.00
Positions (direct):
Cd 0.250 0.250 0.250
Co 0.750 0.750 0.750
Ga 0.000 0.000 0.000
Ni 0.500 0.500 0.500


Which structure is the least stable? The one labeled 2.


1 | DFT (PBE) results for a geometry-optimized ScCdGaCo structure.

Calculated values
Total magnetic moment, Bohr magnetons per cell: 0.0

a b c (Å): 4.522 4.522 4.522
angles (deg): 60.00 60.00 60.00
Positions (direct):
Cd 0.500 0.500 0.500
Co 0.750 0.750 0.750
Ga 0.000 0.000 0.000
Sc 0.250 0.250 0.250


2 | DFT (PBE) results for a geometry-optimized ScCdGaCo structure.

Calculated values
Total magnetic moment, Bohr magnetons per cell: 0.3

a b c (Å): 4.523 4.523 4.523
angles (deg): 60.00 60.00 60.00
Positions (direct):
Cd 0.250 0.250 0.250
Co 0.750 0.750 0.750
Ga 0.000 0.000 0.000
Sc 0.500 0.500 0.500


Which structure is the least stable? The one labeled 2.


1 | DFT (PBE) results for a geometry-optimized YCdGaCo structure.

Calculated values
Total magnetic moment, Bohr magnetons per cell: 1.2

a b c (Å): 4.733 4.733 4.733
angles (deg): 60.00 60.00 60.00
Positions (direct):
Cd 0.250 0.250 0.250
Co 0.750 0.750 0.750
Ga 0.000 0.000 0.000
Y 0.500 0.500 0.500


2 | DFT (PBE) results for a geometry-optimized YCdGaCo structure.

Calculated values
Total magnetic moment, Bohr magnetons per cell: 0.4

a b c (Å): 4.710 4.710 4.710
angles (deg): 60.00 60.00 60.00
Positions (direct):
Cd 0.500 0.500 0.500
Co 0.750 0.750 0.750
Ga 0.000 0.000 0.000
Y 0.250 0.250 0.250


Which structure is the least stable? The one labeled 1.